First-principles (PBE) data for crystalline SiIrPt at its relaxed geometry, as listed in OQMD via LeMat-Bulk.

abc: 4.0182 4.0182 4.0182
angles: 60.00 60.00 60.00
Fractional positions:
Ir: 0.2500 0.2500 0.2500
Si: 0.0000 0.0000 0.0000
Pt: 0.7500 0.7500 0.7500

Crystal system: cubic
Final energy (eV for the cell shown): -22.4
Total moment (μB/f.u.): 0.00
SG: F-43m